## CsCeAg2Se4 (GGA-PBE)

Data for crystalline CsCeAg2Se4 at its relaxed geometry.

Lattice parameters (Å, degrees): 7.3255 7.3394 9.3639 90.00 90.00 90.00
Last column: nearest neighbours and their distance in Å.
Space group I222 (No. 23)
Unique sites:
Cs (0.0000, 0.0000, 0.0000)  8 Se 3.54-3.59
Ce (0.0000, 0.0000, 0.5000)  4 Se 2.78
Ag (0.0000, 0.5000, 0.2485)  4 Se 2.69
Se (0.2052, 0.2052, 0.3086)  2 Ag 2.69, 1 Ce 2.78

Calculated values
Theoretical density, Mg/m³: 5.31
Uncorrected formation energy, meV/atom: -715